Record 1
## LiZr2Rh (SCAN)

Data for LiZr2Rh at its PBEsol-relaxed geometry.

Cell and atoms, written as POSCAR:
```
LiZr2Rh
1.0
4.5591 0.0000 0.0000
0.0000 4.5591 0.0000
0.0000 0.0000 3.3245
Li Zr Rh
1 2 1
direct
0.0000 0.0000 0.0000
0.0000 0.5000 0.5000
0.5000 0.0000 0.5000
0.5000 0.5000 0.0000
```

Values from the calculation:
E = -24.7906 eV/atom
DFT formation energy = -0.401 eV/atom

Record 2
## LaPOs (SCAN)

Data for LaPOs at its PBEsol-relaxed geometry.

Cell and atoms, written as POSCAR:
```
LaPOs
1.0
0.0000 3.1592 3.1592
3.1592 0.0000 3.1592
3.1592 3.1592 0.0000
La P Os
1 1 1
direct
0.0000 0.0000 0.0000
0.5000 0.5000 0.5000
0.7500 0.7500 0.7500
```

Values from the calculation:
E = -41.8123 eV/atom
DFT formation energy = -0.018 eV/atom

Record 3
## Rb3ZrPb (SCAN)

Data for Rb3ZrPb at its PBEsol-relaxed geometry.

Cell and atoms, written as POSCAR:
```
Rb3ZrPb
1.0
6.8305 0.0000 0.0000
0.0000 6.8305 0.0000
0.0000 0.0000 6.8305
Rb Zr Pb
3 1 1
direct
0.0000 0.0000 0.5000
0.0000 0.5000 0.0000
0.5000 0.0000 0.0000
0.5000 0.5000 0.5000
0.0000 0.0000 0.0000
```

Values from the calculation:
E = -32.7582 eV/atom
DFT formation energy = 0.981 eV/atom

Record 4
## Nb3Ir2Se10 (SCAN)

Data for Nb3Ir2Se10 at its PBEsol-relaxed geometry.

Cell and atoms, written as POSCAR:
```
Nb3Ir2Se10
1.0
5.7412 0.0000 0.0000
0.1496 7.1813 0.0000
2.8175 3.0271 7.7848
Nb Ir Se
3 2 10
direct
0.0000 0.0000 0.0000
0.1556 0.3634 0.6447
0.8444 0.6366 0.3553
0.3757 0.7935 0.2082
0.6243 0.2065 0.7918
0.0174 0.9798 0.3016
0.2020 0.4384 0.3083
0.2228 0.3557 0.9143
0.4045 0.7316 0.4989
0.4094 0.8578 0.9010
0.5906 0.1422 0.0990
0.5955 0.2684 0.5011
0.7772 0.6443 0.0857
0.7980 0.5616 0.6917
0.9826 0.0202 0.6984
```

Values from the calculation:
E = -30.1537 eV/atom
Formation energy (no corrections) = -0.662 eV/atom

Record 5
## TlHg2Mo (SCAN)

Data for TlHg2Mo at its PBEsol-relaxed geometry.

Cell and atoms, written as POSCAR:
```
TlHg2Mo
1.0
-1.4334 2.4215 6.6536
1.4334 -2.4215 6.6536
1.4334 2.4215 -6.6536
Tl Hg Mo
1 2 1
direct
0.0000 0.0000 0.0000
0.3097 0.8097 0.5000
0.6284 0.6284 0.0000
0.8116 0.3116 0.5000
```

Values from the calculation:
Energy relative to the lowest polymorph listed for this composition = 0.0087 eV/atom
E = -60.3786 eV/atom
DFT formation energy = 0.515 eV/atom

Record 6
## SmSi3Pt5 (SCAN)

Data for SmSi3Pt5 at its PBEsol-relaxed geometry.

Cell and atoms, written as POSCAR:
```
SmSi3Pt5
1.0
15.8366 0.0000 0.0000
-7.9183 13.7149 0.0000
0.0000 0.0000 3.9466
Sm Si Pt
6 18 30
direct
0.0971 0.7071 0.2500
0.2929 0.3900 0.2500
0.3900 0.0971 0.7500
0.6100 0.9029 0.2500
0.7071 0.6100 0.7500
0.9029 0.2929 0.7500
0.0602 0.4326 0.2500
0.1170 0.8686 0.7500
0.1314 0.2484 0.7500
0.2330 0.6818 0.7500
0.2484 0.1170 0.2500
0.3182 0.5513 0.7500
0.3724 0.9398 0.2500
0.4326 0.3724 0.7500
0.4487 0.7670 0.7500
0.5513 0.2330 0.2500
0.5674 0.6276 0.2500
0.6276 0.0602 0.7500
0.6818 0.4487 0.2500
0.7516 0.8830 0.7500
0.7670 0.3182 0.2500
0.8686 0.7516 0.2500
0.8830 0.1314 0.2500
0.9398 0.5674 0.7500
0.0308 0.8878 0.2500
0.0412 0.2744 0.2500
0.0761 0.5419 0.7500
0.1122 0.1430 0.2500
0.1430 0.0308 0.7500
0.1553 0.4122 0.7500
0.2284 0.5661 0.2500
0.2332 0.9588 0.2500
0.2569 0.8447 0.7500
0.2744 0.2332 0.7500
0.3378 0.7716 0.2500
0.4122 0.2569 0.2500
0.4339 0.6622 0.2500
0.4581 0.5342 0.7500
0.4658 0.9239 0.7500
0.5342 0.0761 0.2500
0.5419 0.4658 0.2500
0.5661 0.3378 0.7500
0.5878 0.7431 0.7500
0.6622 0.2284 0.7500
0.7256 0.7668 0.2500
0.7431 0.1553 0.2500
0.7668 0.0412 0.7500
0.7716 0.4339 0.7500
0.8447 0.5878 0.2500
0.8570 0.9692 0.2500
0.8878 0.8570 0.7500
0.9239 0.4581 0.2500
0.9588 0.7256 0.7500
0.9692 0.1122 0.7500
```

Values from the calculation:
E = -48.3373 eV/atom
Formation energy (no corrections) = -1.065 eV/atom

Record 7
## KLaCo2 (SCAN)

Data for KLaCo2 at its PBEsol-relaxed geometry.

Cell and atoms, written as POSCAR:
```
KLaCo2
1.0
0.0000 3.3692 3.3692
3.3692 0.0000 3.3692
3.3692 3.3692 0.0000
K La Co
1 1 2
direct
0.0000 0.0000 0.0000
0.7500 0.7500 0.7500
0.2500 0.2500 0.2500
0.5000 0.5000 0.5000
```

Values from the calculation:
Energy relative to the lowest polymorph listed for this composition = 0.3752 eV/atom
E = -20.5575 eV/atom
DFT formation energy = 0.953 eV/atom

Record 8
## RbGaS2Cl (SCAN)

Data for RbGaS2Cl at its PBEsol-relaxed geometry.

Cell and atoms, written as POSCAR:
```
RbGaS2Cl
1.0
4.6719 0.0000 0.0000
0.0000 4.6719 0.0000
0.0000 0.0000 5.3332
Rb Ga S Cl
1 1 2 1
direct
0.0000 0.0000 0.0000
0.5000 0.5000 0.5000
0.0000 0.5000 0.5000
0.5000 0.0000 0.5000
0.5000 0.5000 0.0000
```

Values from the calculation:
E = -13.6500 eV/atom
Formation energy (no corrections) = -0.786 eV/atom

Record 9
## HfNbGeF2 (SCAN)

Data for HfNbGeF2 at its PBEsol-relaxed geometry.

Cell and atoms, written as POSCAR:
```
HfNbGeF2
1.0
3.9714 0.0000 0.0000
0.0000 3.9714 0.0000
0.0000 0.0000 5.7539
Hf Nb Ge F
1 1 1 2
direct
0.0000 0.0000 0.0000
0.0000 0.0000 0.5000
0.5000 0.5000 0.0000
0.0000 0.5000 0.5000
0.5000 0.0000 0.5000
```

Values from the calculation:
E = -25.5070 eV/atom
Formation energy (no corrections) = -1.113 eV/atom

Record 10
## Mg2Ag (SCAN)

Data for Mg2Ag at its PBEsol-relaxed geometry.

Cell and atoms, written as POSCAR:
```
Mg2Ag
1.0
7.9435 0.0000 0.0000
-3.9717 6.8793 0.0000
0.0000 0.0000 3.1734
Mg Ag
6 3
direct
0.0000 0.3795 0.0000
0.0000 0.7143 0.5000
0.2857 0.2857 0.5000
0.3795 0.0000 0.0000
0.6205 0.6205 0.0000
0.7143 0.0000 0.5000
0.0000 0.0000 0.0000
0.3333 0.6667 0.5000
0.6667 0.3333 0.5000
```

Values from the calculation:
E = -13.9864 eV/atom
DFT formation energy = -0.215 eV/atom

Record 11
## BaBHAu2 (SCAN)

Data for BaBHAu2 at its PBEsol-relaxed geometry.

Cell and atoms, written as POSCAR:
```
BaBHAu2
1.0
3.9623 0.0000 0.0000
0.0000 3.9623 0.0000
0.0000 0.0000 5.7305
Ba B H Au
1 1 1 2
direct
0.0000 0.0000 0.0000
0.5000 0.5000 0.0000
0.0000 0.0000 0.5000
0.0000 0.5000 0.5000
0.5000 0.0000 0.5000
```

Values from the calculation:
E = -37.1429 eV/atom

Record 12
## Mn2NiPt (SCAN)

Data for Mn2NiPt at its PBEsol-relaxed geometry.

Cell and atoms, written as POSCAR:
```
Mn2NiPt
1.0
1.2919 0.7459 8.2653
-1.2919 0.7459 8.2653
0.0000 -1.4918 8.2653
Mn Ni Pt
2 1 1
direct
0.0000 0.0000 0.0000
0.2572 0.2572 0.2572
0.7458 0.7458 0.7458
0.5015 0.5015 0.5015
```

Values from the calculation:
E = -30.8298 eV/atom
DFT formation energy = -0.111 eV/atom